1.
Compound: Pr8Co2Ni
Source: the Alexandria database
Functional: PBE-GGA
Structure: optimized geometry

Its formation energy is 18 meV per atom. The value obtained for the total energy is -116.06 eV per cell. The value obtained for the total magnetization is 0.000 μB per cell.

The space group is Cm (No. 8) and the conventional cell measures 8.754, 11.876 and 6.589 Å, with angles of 90.00, 109.82 and 90.00 degrees. Symmetry generates all atoms from Pr at (0.000, 0.000, 0.000), Pr at (0.081, 0.357, 0.864), Pr at (0.152, 0.140, 0.591), Pr at (0.233, 0.500, 0.431), Pr at (0.370, 0.181, 0.238), Co at (0.364, 0.315, 0.710) and Ni at (0.352, 0.000, 0.973).


2.
Compound: Pr4Co2Ni
Source: the Alexandria database
Functional: PBE-GGA
Structure: optimized geometry

Its formation energy is -54 meV per atom. The value obtained for the total energy is -78.98 eV per cell. The value obtained for the total magnetization is 0.000 μB per cell.

The space group is C2/m (No. 12) and the conventional cell measures 13.357, 4.343 and 7.198 Å, with angles of 90.00, 121.11 and 90.00 degrees. Symmetry generates all atoms from Pr at (0.111, 0.000, 0.314), Pr at (0.149, 0.500, 0.791), Co at (0.213, 0.500, 0.221) and Ni at (0.000, 0.500, 0.000).


3.
Compound: Pr12Co3Ni5
Source: the Alexandria database
Functional: PBE-GGA
Structure: optimized geometry

Its formation energy is 189 meV per atom. The value obtained for the total energy is -830.42 eV per cell. The value obtained for the total magnetization is 0.001 μB per cell.

The space group is Ia-3d (No. 230) and the conventional cell measures 16.533, 16.533 and 16.533 Å, with angles of 90.00, 90.00 and 90.00 degrees. Symmetry generates all atoms from Pr at (0.023, 0.069, 0.652), Co at (0.000, 0.250, 0.125), Ni at (0.000, 0.000, 0.000) and Ni at (0.000, 0.250, 0.375).


4.
Compound: Pr2Co5Ni5
Source: the Alexandria database
Functional: PBE-GGA
Structure: optimized geometry

Its formation energy is -127 meV per atom. The value obtained for the total energy is -75.52 eV per cell. The value obtained for the total magnetization is 8.558 μB per cell.

The space group is Pmmm (No. 47) and the conventional cell measures 4.013, 4.903 and 8.746 Å, with angles of 90.00, 90.00 and 90.00 degrees. Symmetry generates all atoms from Pr at (0.000, 0.000, 0.000), Pr at (0.000, 0.500, 0.500), Co at (0.500, 0.000, 0.500), Co at (0.500, 0.251, 0.254), Ni at (0.000, 0.000, 0.330), Ni at (0.000, 0.500, 0.169) and Ni at (0.500, 0.500, 0.000).


5.
Compound: PrCoNi
Source: the Alexandria database
Functional: PBE-GGA
Structure: optimized geometry

Its formation energy is -132 meV per atom. The value obtained for the total energy is -18.06 eV per cell. The value obtained for the total magnetization is 0.183 μB per cell.

The space group is P-6m2 (No. 187) and the conventional cell measures 3.9937, 3.9937 and 4.0555 Å, with angles of 90.00, 90.00 and 120.00 degrees. Symmetry generates all atoms from Pr at (0.0000, 0.0000, 0.0000), Co at (0.6667, 0.3333, 0.5000) and Ni at (0.3333, 0.6667, 0.5000).


6.
Compound: Pr4CoNi3
Source: the Alexandria database
Functional: PBE-GGA
Structure: optimized geometry

Its formation energy is -216 meV per atom. The value obtained for the total energy is -45.30 eV per cell. The value obtained for the total magnetization is 0.000 μB per cell.

The space group is Pmm2 (No. 25) and the conventional cell measures 3.911, 4.208 and 10.876 Å, with angles of 90.00, 90.00 and 90.00 degrees. Symmetry generates all atoms from Pr at (0.000, 0.000, 0.000), Pr at (0.000, 0.500, 0.275), Pr at (0.500, 0.000, 0.493), Pr at (0.500, 0.500, 0.773), Co at (0.500, 0.000, 0.204), Ni at (0.000, 0.000, 0.703), Ni at (0.000, 0.500, 0.568) and Ni at (0.500, 0.500, 0.070).